(1)
The following is a PBE-GGA calculation of a geometry-optimized Ac4TlIr3O12 structure, from Alexandria via LeMat-Bulk.

Calculated values
The density of states at the Fermi level is 6.921 states/eV/f.u.

abc: 7.6756 7.6756 7.6756
angles: 109.47 109.47 109.47
Positions (direct):
Ac (0.0000, 0.0000, 0.5000)
Ac (0.0000, 0.5000, 0.0000)
Ac (0.5000, 0.0000, 0.0000)
Ac (0.5000, 0.5000, 0.5000)
Tl (0.0000, 0.0000, 0.0000)
Ir (0.0000, 0.5000, 0.5000)
Ir (0.5000, 0.0000, 0.5000)
Ir (0.5000, 0.5000, 0.0000)
O (0.1489, 0.3382, 0.4870)
O (0.1489, 0.6618, 0.8107)
O (0.1893, 0.8511, 0.3382)
O (0.3382, 0.1893, 0.8511)
O (0.3382, 0.4870, 0.1489)
O (0.4870, 0.1489, 0.3382)
O (0.5130, 0.8511, 0.6618)
O (0.6618, 0.5130, 0.8511)
O (0.6618, 0.8107, 0.1489)
O (0.8107, 0.1489, 0.6618)
O (0.8511, 0.3382, 0.1893)
O (0.8511, 0.6618, 0.5130)

---

(2)
The following is a PBE-GGA calculation of a geometry-optimized AcTl2IrO8 structure, from Alexandria via LeMat-Bulk.

Calculated values
The density of states at the Fermi level is 4.694 states/eV/f.u.

abc: 4.7522 5.4677 7.1011
angles: 99.97 91.59 91.89
Positions (direct):
Ac (0.0000, 0.0000, 0.0000)
Tl (0.4649, 0.4341, 0.7523)
Tl (0.5351, 0.5659, 0.2477)
Ir (0.0000, 0.0000, 0.5000)
O (0.0829, 0.7539, 0.2701)
O (0.1609, 0.8162, 0.6657)
O (0.3449, 0.1971, 0.4908)
O (0.4522, 0.2540, 0.0321)
O (0.5478, 0.7460, 0.9679)
O (0.6551, 0.8029, 0.5092)
O (0.8391, 0.1838, 0.3343)
O (0.9171, 0.2461, 0.7299)

---

(3)
The following is a PBE-GGA calculation of a geometry-optimized AcTlIrO6 structure, from Alexandria via LeMat-Bulk.

Calculated values
The density of states at the Fermi level is 6.070 states/eV/f.u.

abc: 6.0480 6.0480 8.2979
angles: 90.00 90.00 120.00
Positions (direct):
Ac (0.3333, 0.6667, 0.2500)
Ac (0.6667, 0.3333, 0.7500)
Tl (0.0000, 0.0000, 0.0000)
Tl (0.0000, 0.0000, 0.5000)
Ir (0.3333, 0.6667, 0.7500)
Ir (0.6667, 0.3333, 0.2500)
O (0.0670, 0.3998, 0.6198)
O (0.0670, 0.6672, 0.8802)
O (0.3328, 0.3998, 0.8802)
O (0.3328, 0.9330, 0.6198)
O (0.3998, 0.0670, 0.1198)
O (0.3998, 0.3328, 0.3802)
O (0.6002, 0.6672, 0.6198)
O (0.6002, 0.9330, 0.8802)
O (0.6672, 0.0670, 0.3802)
O (0.6672, 0.6002, 0.1198)
O (0.9330, 0.3328, 0.1198)
O (0.9330, 0.6002, 0.3802)

---

(4)
The following is a PBE-GGA calculation of a geometry-optimized Ac5Tl2IrO structure, from Alexandria via LeMat-Bulk.

Calculated values
The density of states at the Fermi level is 5.855 states/eV/f.u.

abc: 10.2047 10.2047 14.6765
angles: 90.00 90.00 155.53
Positions (direct):
Ac (0.0033, 0.9967, 0.5000)
Ac (0.1596, 0.8404, 0.7294)
Ac (0.1810, 0.8190, 0.1025)
Ac (0.2031, 0.7969, 0.3802)
Ac (0.4604, 0.5396, 0.7271)
Ac (0.5396, 0.4604, 0.2271)
Ac (0.7969, 0.2031, 0.8802)
Ac (0.8190, 0.1810, 0.6025)
Ac (0.8404, 0.1596, 0.2294)
Ac (0.9967, 0.0033, 0.0000)
Tl (0.3665, 0.6335, 0.0476)
Tl (0.3834, 0.6166, 0.4107)
Tl (0.6166, 0.3834, 0.9107)
Tl (0.6335, 0.3665, 0.5476)
Ir (0.3064, 0.6936, 0.7410)
Ir (0.6936, 0.3064, 0.2410)
O (0.0472, 0.9528, 0.1481)
O (0.9528, 0.0472, 0.6481)

---

E_form (uncorrected) (eV per atom)
-1.90 -1.09 -1.30 -0.96